# Sb2N2O (PBE, optimized geometry)
data_Sb2N2O
_cell_length_a 6.7801
_cell_length_b 6.7801
_cell_length_c 3.1118
_cell_angle_alpha 90.00
_cell_angle_beta 90.00
_cell_angle_gamma 90.00
_symmetry_space_group_name_H-M 'P 4/m b m'
_symmetry_Int_Tables_number 127
_symmetry_space_group_name_Hall '-P 4 2ab'
loop_
_atom_site_label
_atom_site_type_symbol
_atom_site_fract_x
_atom_site_fract_y
_atom_site_fract_z
_atom_site_occupancy
Sb1 Sb 0.1923 0.3077 0.0000 1
N1 N 0.1592 0.6592 0.5000 1
O1 O 0.0000 0.0000 0.5000 1
# Volume ... 14.30 A^3/atom
# Total DFT energy (no corrections) ... -50.2 eV per cell
# DOS(E_F) ... 2.2 states/eV/f.u.

# SbN3O (PBE, optimized geometry)
data_SbN3O
_cell_length_a 4.0733
_cell_length_b 4.0733
_cell_length_c 4.0733
_cell_angle_alpha 90.00
_cell_angle_beta 90.00
_cell_angle_gamma 90.00
_symmetry_space_group_name_H-M 'P m -3 m'
_symmetry_Int_Tables_number 221
_symmetry_space_group_name_Hall '-P 4 2 3'
loop_
_atom_site_label
_atom_site_type_symbol
_atom_site_fract_x
_atom_site_fract_y
_atom_site_fract_z
_atom_site_occupancy
Sb1 Sb 0.0000 0.0000 0.0000 1
N1 N 0.0000 0.0000 0.5000 1
O1 O 0.5000 0.5000 0.5000 1
# Volume ... 13.52 A^3/atom
# Total DFT energy (no corrections) ... -22.6 eV per cell
# DOS(E_F) ... 0.9 states/eV/f.u.

# SbN2O (PBE, optimized geometry)
data_SbN2O
_cell_length_a 3.3068
_cell_length_b 3.3068
_cell_length_c 16.7303
_cell_angle_alpha 90.00
_cell_angle_beta 90.00
_cell_angle_gamma 120.00
_symmetry_space_group_name_H-M 'R -3 m'
_symmetry_Int_Tables_number 166
_symmetry_space_group_name_Hall '-R 3 2"'
loop_
_atom_site_label
_atom_site_type_symbol
_atom_site_fract_x
_atom_site_fract_y
_atom_site_fract_z
_atom_site_occupancy
Sb1 Sb 0.0000 0.0000 0.0000 1
N1 N 0.0000 0.0000 0.3982 1
O1 O 0.0000 0.0000 0.5000 1
# Energy above the most stable polymorph in this dataset ... 1325 meV per atom
# Volume ... 13.20 A^3/atom
# Total DFT energy (no corrections) ... -63.4 eV per cell
# DOS(E_F) ... 1.2 states/eV/f.u.

# SbN3O (PBE, optimized geometry)
data_SbN3O
_cell_length_a 3.6142
_cell_length_b 3.6142
_cell_length_c 3.6142
_cell_angle_alpha 90.00
_cell_angle_beta 90.00
_cell_angle_gamma 90.00
_symmetry_space_group_name_H-M 'P m -3 m'
_symmetry_Int_Tables_number 221
_symmetry_space_group_name_Hall '-P 4 2 3'
loop_
_atom_site_label
_atom_site_type_symbol
_atom_site_fract_x
_atom_site_fract_y
_atom_site_fract_z
_atom_site_occupancy
Sb1 Sb 0.0000 0.0000 0.0000 1
N1 N 0.0000 0.5000 0.5000 1
O1 O 0.5000 0.5000 0.5000 1
# Volume ... 9.44 A^3/atom
# Total DFT energy (no corrections) ... -22.6 eV per cell
# DOS(E_F) ... 2.9 states/eV/f.u.

# SbN2O (PBE, optimized geometry)
data_SbN2O
_cell_length_a 3.2887
_cell_length_b 3.8710
_cell_length_c 8.3430
_cell_angle_alpha 78.36
_cell_angle_beta 88.61
_cell_angle_gamma 89.70
_symmetry_space_group_name_H-M 'P 1'
_symmetry_Int_Tables_number 1
loop_
_symmetry_equiv_pos_as_xyz
'x,y,z'
loop_
_atom_site_label
_atom_site_type_symbol
_atom_site_fract_x
_atom_site_fract_y
_atom_site_fract_z
_atom_site_occupancy
Sb1 Sb 0.0000 0.0000 0.0000 1
N1 N 0.4952 0.5812 0.4542 1
N2 N 0.5043 0.3454 0.5558 1
O1 O 0.5025 0.6785 0.9962 1
# Energy above the most stable polymorph in this dataset ... 0 meV per atom
# Volume ... 26.00 A^3/atom
# Total DFT energy (no corrections) ... -26.4 eV per cell
# DOS(E_F) ... 0.7 states/eV/f.u.

# SbNO (PBE, optimized geometry)
data_SbNO
_cell_length_a 9.9027
_cell_length_b 4.2310
_cell_length_c 6.6335
_cell_angle_alpha 90.00
_cell_angle_beta 93.42
_cell_angle_gamma 90.00
_symmetry_space_group_name_H-M 'P 1 21/c 1'
_symmetry_Int_Tables_number 14
loop_
_symmetry_equiv_pos_as_xyz
'x,y,z'
'-x,-y,-z'
'-x,y+1/2,-z+1/2'
'x,-y+1/2,z+1/2'
loop_
_atom_site_label
_atom_site_type_symbol
_atom_site_fract_x
_atom_site_fract_y
_atom_site_fract_z
_atom_site_occupancy
Sb1 Sb 0.1344 0.2501 0.2612 1
N1 N 0.4651 0.5546 0.4408 1
O1 O 0.0714 0.7492 0.2563 1
# Energy above the most stable polymorph in this dataset ... 12 meV per atom
# Volume ... 23.12 A^3/atom
# Total DFT energy (no corrections) ... -76.7 eV per cell
# DOS(E_F) ... 0.4 states/eV/f.u.

# ScSbN2O (PBE, optimized geometry)
data_ScSbN2O
_cell_length_a 4.2085
_cell_length_b 4.2085
_cell_length_c 3.9970
_cell_angle_alpha 90.00
_cell_angle_beta 90.00
_cell_angle_gamma 90.00
_symmetry_space_group_name_H-M 'P 4/m m m'
_symmetry_Int_Tables_number 123
_symmetry_space_group_name_Hall '-P 4 2'
loop_
_atom_site_label
_atom_site_type_symbol
_atom_site_fract_x
_atom_site_fract_y
_atom_site_fract_z
_atom_site_occupancy
Sc1 Sc 0.0000 0.0000 0.0000 1
Sb1 Sb 0.5000 0.5000 0.5000 1
N1 N 0.0000 0.5000 0.0000 1
O1 O 0.0000 0.0000 0.5000 1
# Volume ... 14.16 A^3/atom
# Total DFT energy (no corrections) ... -31.9 eV per cell
# DOS(E_F) ... 2.5 states/eV/f.u.

# ScSbN2O (PBE, optimized geometry)
data_ScSbN2O
_cell_length_a 4.0161
_cell_length_b 4.0161
_cell_length_c 3.9082
_cell_angle_alpha 90.00
_cell_angle_beta 90.00
_cell_angle_gamma 90.00
_symmetry_space_group_name_H-M 'P 4/m m m'
_symmetry_Int_Tables_number 123
_symmetry_space_group_name_Hall '-P 4 2'
loop_
_atom_site_label
_atom_site_type_symbol
_atom_site_fract_x
_atom_site_fract_y
_atom_site_fract_z
_atom_site_occupancy
Sc1 Sc 0.0000 0.0000 0.0000 1
Sb1 Sb 0.5000 0.5000 0.5000 1
N1 N 0.0000 0.5000 0.5000 1
O1 O 0.5000 0.5000 0.0000 1
# Volume ... 12.61 A^3/atom
# Total DFT energy (no corrections) ... -33.5 eV per cell
# DOS(E_F) ... 0.3 states/eV/f.u.

# SbSe2NO (PBE, optimized geometry)
data_SbSe2NO
_cell_length_a 4.3987
_cell_length_b 4.3987
_cell_length_c 4.2176
_cell_angle_alpha 90.00
_cell_angle_beta 90.00
_cell_angle_gamma 90.00
_symmetry_space_group_name_H-M 'P 4/m m m'
_symmetry_Int_Tables_number 123
_symmetry_space_group_name_Hall '-P 4 2'
loop_
_atom_site_label
_atom_site_type_symbol
_atom_site_fract_x
_atom_site_fract_y
_atom_site_fract_z
_atom_site_occupancy
Sb1 Sb 0.0000 0.0000 0.0000 1
Se1 Se 0.0000 0.5000 0.5000 1
N1 N 0.5000 0.5000 0.0000 1
O1 O 0.5000 0.5000 0.5000 1
# Energy above the most stable polymorph in this dataset ... 0 meV per atom
# Volume ... 16.32 A^3/atom
# Total DFT energy (no corrections) ... -18.8 eV per cell
# DOS(E_F) ... 2.3 states/eV/f.u.

# SbSe2NO (PBE, optimized geometry)
data_SbSe2NO
_cell_length_a 5.3382
_cell_length_b 5.3382
_cell_length_c 3.9566
_cell_angle_alpha 90.00
_cell_angle_beta 90.00
_cell_angle_gamma 90.00
_symmetry_space_group_name_H-M 'P 4/m m m'
_symmetry_Int_Tables_number 123
_symmetry_space_group_name_Hall '-P 4 2'
loop_
_atom_site_label
_atom_site_type_symbol
_atom_site_fract_x
_atom_site_fract_y
_atom_site_fract_z
_atom_site_occupancy
Sb1 Sb 0.0000 0.0000 0.0000 1
Se1 Se 0.0000 0.5000 0.0000 1
N1 N 0.0000 0.0000 0.5000 1
O1 O 0.5000 0.5000 0.5000 1
# Energy above the most stable polymorph in this dataset ... 399 meV per atom
# Volume ... 22.55 A^3/atom
# Total DFT energy (no corrections) ... -16.8 eV per cell
# DOS(E_F) ... 6.5 states/eV/f.u.

# SiSbN2O (PBE, optimized geometry)
data_SiSbN2O
_cell_length_a 4.0542
_cell_length_b 4.0542
_cell_length_c 3.9428
_cell_angle_alpha 90.00
_cell_angle_beta 90.00
_cell_angle_gamma 90.00
_symmetry_space_group_name_H-M 'P 4/m m m'
_symmetry_Int_Tables_number 123
_symmetry_space_group_name_Hall '-P 4 2'
loop_
_atom_site_label
_atom_site_type_symbol
_atom_site_fract_x
_atom_site_fract_y
_atom_site_fract_z
_atom_site_occupancy
Si1 Si 0.0000 0.0000 0.0000 1
Sb1 Sb 0.5000 0.5000 0.5000 1
N1 N 0.0000 0.5000 0.5000 1
O1 O 0.5000 0.5000 0.0000 1
# Volume ... 12.96 A^3/atom
# Total DFT energy (no corrections) ... -27.0 eV per cell
# DOS(E_F) ... 3.4 states/eV/f.u.

# Si2SbNO (PBE, optimized geometry)
data_Si2SbNO
_cell_length_a 5.1095
_cell_length_b 5.1095
_cell_length_c 3.8942
_cell_angle_alpha 90.00
_cell_angle_beta 90.00
_cell_angle_gamma 90.00
_symmetry_space_group_name_H-M 'P 4/m m m'
_symmetry_Int_Tables_number 123
_symmetry_space_group_name_Hall '-P 4 2'
loop_
_atom_site_label
_atom_site_type_symbol
_atom_site_fract_x
_atom_site_fract_y
_atom_site_fract_z
_atom_site_occupancy
Si1 Si 0.0000 0.5000 0.0000 1
Sb1 Sb 0.0000 0.0000 0.0000 1
N1 N 0.5000 0.5000 0.5000 1
O1 O 0.0000 0.0000 0.5000 1
# Volume ... 20.33 A^3/atom
# Total DFT energy (no corrections) ... -20.4 eV per cell
# DOS(E_F) ... 1.9 states/eV/f.u.

# SiSbN2O (PBE, optimized geometry)
data_SiSbN2O
_cell_length_a 3.7463
_cell_length_b 3.7463
_cell_length_c 3.5856
_cell_angle_alpha 90.00
_cell_angle_beta 90.00
_cell_angle_gamma 90.00
_symmetry_space_group_name_H-M 'P 4/m m m'
_symmetry_Int_Tables_number 123
_symmetry_space_group_name_Hall '-P 4 2'
loop_
_atom_site_label
_atom_site_type_symbol
_atom_site_fract_x
_atom_site_fract_y
_atom_site_fract_z
_atom_site_occupancy
Si1 Si 0.0000 0.0000 0.0000 1
Sb1 Sb 0.5000 0.5000 0.5000 1
N1 N 0.0000 0.5000 0.0000 1
O1 O 0.0000 0.0000 0.5000 1
# Volume ... 10.06 A^3/atom
# Total DFT energy (no corrections) ... -32.1 eV per cell
# DOS(E_F) ... 2.3 states/eV/f.u.